Pm4Pt2S, relaxed, DFT PBE-GGA; SG = No. 139; density = 8.28 g cm⁻³; DFT total energy = -41.8 eV/cell; N(E_F) = 8.0 states/eV per cell; uncorrected formation energy = -0.93 eV per atom
1.0
-0.786 2.500 -4.635
2.880 -3.719 -2.494
-6.916 -3.218 2.495
S Pt Pm
1 2 4
direct
0.000 0.000 0.000
0.607 0.607 0.215
0.393 0.393 0.785
0.801 0.801 0.602
0.199 0.199 0.398
0.000 0.500 0.000
0.500 0.000 0.000


Pm6Pt2S, relaxed, DFT PBE-GGA; SG = No. 14; density = 8.35 g cm⁻³; DFT total energy = -106.9 eV/cell; N(E_F) = 18.6 states/eV per cell; uncorrected formation energy = -0.97 eV per atom
1.0
-2.732 1.628 -5.905
-6.720 -0.033 3.100
0.818 10.168 1.881
Pm Pt S
12 4 2
direct
0.153 0.040 0.247
0.175 0.329 0.571
0.164 0.314 0.929
0.336 0.814 0.571
0.325 0.829 0.929
0.347 0.540 0.253
0.847 0.960 0.753
0.825 0.671 0.429
0.836 0.686 0.071
0.664 0.186 0.429
0.675 0.171 0.071
0.653 0.460 0.747
0.061 0.616 0.763
0.439 0.116 0.737
0.561 0.884 0.263
0.939 0.384 0.237
0.500 0.500 0.000
0.000 0.000 0.500


Pm4PtS3, relaxed, DFT PBE-GGA; SG = No. 221; density = 7.46 g cm⁻³; DFT total energy = -51.4 eV/cell; N(E_F) = 7.3 states/eV per cell; uncorrected formation energy = -1.75 eV per atom; offset from the most stable computed form = 31 meV per atom
1.0
-4.130 -2.775 -2.959
2.864 -4.985 0.677
-2.873 -0.981 4.929
Pm Pt S
4 1 3
direct
0.500 0.000 0.000
0.000 0.500 0.000
0.000 0.000 0.500
0.500 0.500 0.500
0.000 0.000 0.000
0.000 0.500 0.500
0.500 0.000 0.500
0.500 0.500 0.000


Pm8Pt3Se4S, relaxed, DFT PBE-GGA; SG = No. 166; density = 8.28 g cm⁻³; DFT total energy = -99.2 eV/cell; N(E_F) = 11.9 states/eV per cell; uncorrected formation energy = -1.56 eV per atom
1.0
-1.704 -3.729 -7.171
-6.987 -3.504 3.483
0.905 8.206 0.275
Pm Pt Se S
8 3 4 1
direct
0.247 0.738 0.991
0.247 0.738 0.494
0.256 0.269 0.513
0.744 0.738 0.991
0.256 0.262 0.009
0.744 0.731 0.487
0.753 0.262 0.506
0.753 0.262 0.009
0.500 0.500 0.000
0.500 0.500 0.500
0.000 0.500 0.500
0.500 0.000 0.000
0.500 0.000 0.500
0.000 0.000 0.000
0.000 0.000 0.500
0.000 0.500 0.000


Pm4PtSe2S, relaxed, DFT PBE-GGA; SG = No. 10; density = 7.80 g cm⁻³; DFT total energy = -49.8 eV/cell; N(E_F) = 4.3 states/eV per cell; uncorrected formation energy = -1.70 eV per atom
1.0
-3.215 1.239 2.224
-2.384 -6.899 0.396
2.843 -3.178 5.879
Pm Pt Se S
4 1 2 1
direct
0.000 0.735 0.758
0.000 0.265 0.242
0.500 0.739 0.257
0.500 0.261 0.743
0.500 0.500 0.000
0.000 0.000 0.000
0.500 0.000 0.500
0.000 0.500 0.500


Pm6Pt2Se3S, relaxed, DFT PBE-GGA; SG = No. 12; density = 8.11 g cm⁻³; DFT total energy = -74.5 eV/cell; N(E_F) = 8.1 states/eV per cell; uncorrected formation energy = -1.61 eV per atom
1.0
-3.776 1.267 -0.990
-3.158 -7.574 2.355
1.640 4.603 8.137
Pm Pt Se S
6 2 3 1
direct
0.335 0.901 0.669
0.668 0.579 0.337
0.665 0.099 0.331
0.004 0.244 0.007
0.996 0.756 0.993
0.332 0.421 0.663
0.833 0.663 0.667
0.167 0.337 0.333
0.500 0.500 0.000
0.837 0.160 0.674
0.163 0.840 0.326
0.500 0.000 0.000


Pm6Pt2SeS3, relaxed, DFT PBE-GGA; SG = No. 12; density = 7.94 g cm⁻³; DFT total energy = -76.3 eV/cell; N(E_F) = 8.1 states/eV per cell; uncorrected formation energy = -1.66 eV per atom
1.0
-2.580 -2.956 -1.027
-1.296 -1.693 8.131
-5.008 7.715 -1.622
Pm Pt Se S
6 2 1 3
direct
0.329 0.906 0.658
0.666 0.585 0.332
0.671 0.094 0.342
0.002 0.260 0.003
0.998 0.740 0.997
0.334 0.415 0.668
0.832 0.662 0.665
0.168 0.338 0.335
0.500 0.000 0.000
0.500 0.500 0.000
0.838 0.160 0.676
0.162 0.840 0.324


Pm8PtSe4S3, relaxed, DFT PBE-GGA; SG = No. 166; density = 7.27 g cm⁻³; DFT total energy = -99.7 eV/cell; N(E_F) = 5.7 states/eV per cell; uncorrected formation energy = -1.83 eV per atom
1.0
8.261 0.000 0.000
0.000 8.333 0.045
-4.130 -4.126 5.844
Pm Pt Se S
8 1 4 3
direct
0.245 0.735 0.990
0.245 0.735 0.489
0.256 0.269 0.513
0.746 0.735 0.990
0.254 0.265 0.010
0.744 0.731 0.487
0.755 0.265 0.511
0.755 0.265 0.010
0.000 0.500 0.000
0.500 0.000 0.000
0.500 0.000 0.500
0.000 0.000 0.000
0.000 0.000 0.500
0.500 0.500 0.000
0.500 0.500 0.500
0.000 0.500 0.500


Pm6PtSe3S2, relaxed, DFT PBE-GGA; SG = No. 12; density = 7.46 g cm⁻³; DFT total energy = -74.7 eV/cell; N(E_F) = 5.0 states/eV per cell; uncorrected formation energy = -1.79 eV per atom
1.0
-0.640 3.977 0.643
-7.123 -1.812 4.113
6.674 -2.024 6.217
Pm Pt Se S
6 1 3 2
direct
0.333 0.905 0.667
0.670 0.572 0.341
0.667 0.095 0.333
0.003 0.240 0.007
0.997 0.760 0.993
0.330 0.428 0.659
0.500 0.000 0.000
0.500 0.500 0.000
0.833 0.169 0.666
0.167 0.831 0.334
0.832 0.666 0.664
0.168 0.334 0.336


Pm6Te3Pt2S, relaxed, DFT PBE-GGA; SG = No. 12; density = 8.05 g cm⁻³; DFT total energy = -71.1 eV/cell; N(E_F) = 6.6 states/eV per cell; uncorrected formation energy = -1.42 eV per atom
1.0
-1.501 -5.552 -4.588
-3.156 0.253 6.641
-4.083 5.612 -3.503
Pm Te Pt S
6 3 2 1
direct
0.927 0.588 0.784
0.734 0.734 0.218
0.073 0.412 0.216
0.588 0.927 0.784
0.266 0.266 0.782
0.412 0.073 0.216
0.164 0.836 0.500
0.836 0.164 0.500
0.500 0.500 0.500
0.333 0.667 0.000
0.667 0.333 0.000
0.000 0.000 0.000


Pm4TePtS2, relaxed, DFT PBE-GGA; SG = No. 10; density = 7.69 g cm⁻³; DFT total energy = -49.2 eV/cell; N(E_F) = 4.4 states/eV per cell; uncorrected formation energy = -1.60 eV per atom
1.0
-2.914 -2.833 0.590
4.224 -3.304 5.000
-1.451 2.864 6.580
Pm Te Pt S
4 1 1 2
direct
0.000 0.777 0.730
0.000 0.223 0.270
0.500 0.756 0.263
0.500 0.244 0.737
0.500 0.500 0.000
0.000 0.500 0.500
0.000 0.000 0.000
0.500 0.000 0.500